Here is a relaxed Si2HgRu crystal from the Alexandria database. Energies are from GGA-PBE.

Cell lengths 4.335, 4.335, 5.247 Å; angles 83.22, 83.22, 42.40 degrees
Sites, in units of the cell vectors:
Si  0.977  0.977  0.066
Si  0.523  0.523  0.434
Ru  0.250  0.250  0.250
Hg  0.750  0.750  0.750

Summary:
Formation energy without anion corrections (eV per atom): 0.15
Mass density (g cm⁻³): 9.011
SG: C2/m
Crystal system: monoclinic